Entry 1:
# Gd2CoCu | Alexandria via LeMat-Bulk | PBE | relaxed
# Crystal system   trigonal
# Formation enthalpy at 0 K   1.38 eV/f.u.
# Total energy   -113.95 eV per cell
data_Gd2CoCu
_chemical_formula_sum 'Gd6 Co3 Cu3'
_space_group_name_H-M_alt 'R -3 m'
_space_group_IT_number 166
_space_group_name_Hall '-R 3 2"'
_cell_length_a 3.7620
_cell_length_b 3.7620
_cell_length_c 26.2791
_cell_angle_alpha 90.00
_cell_angle_beta 90.00
_cell_angle_gamma 120.00
loop_
_atom_site_label
_atom_site_fract_x
_atom_site_fract_y
_atom_site_fract_z
Gd1 0.0000 0.0000 0.1088
Co1 0.0000 0.0000 0.5000
Cu1 0.0000 0.0000 0.0000

=====

Entry 2:
# Gd2CoCu | Alexandria via LeMat-Bulk | PBE | relaxed
# Crystal system   tetragonal
# Formation enthalpy at 0 K   -0.63 eV/f.u.
# Total energy   -40.00 eV per cell
data_Gd2CoCu
_chemical_formula_sum 'Gd2 Co1 Cu1'
_space_group_name_H-M_alt 'P 4/m m m'
_space_group_IT_number 123
_space_group_name_Hall '-P 4 2'
_cell_length_a 3.4160
_cell_length_b 3.4160
_cell_length_c 7.0203
_cell_angle_alpha 90.00
_cell_angle_beta 90.00
_cell_angle_gamma 90.00
loop_
_atom_site_label
_atom_site_fract_x
_atom_site_fract_y
_atom_site_fract_z
Gd1 0.0000 0.0000 0.2388
Co1 0.5000 0.5000 0.0000
Cu1 0.5000 0.5000 0.5000

=====

Entry 3:
# GdCoCu | Alexandria via LeMat-Bulk | PBE | relaxed
# Crystal system   hexagonal
# Formation enthalpy at 0 K   -0.24 eV/f.u.
# Total energy   -25.52 eV per cell
data_GdCoCu
_chemical_formula_sum 'Gd1 Co1 Cu1'
_space_group_name_H-M_alt 'P -6 m 2'
_space_group_IT_number 187
_space_group_name_Hall 'P -6 2'
_cell_length_a 4.0940
_cell_length_b 4.0940
_cell_length_c 3.7429
_cell_angle_alpha 90.00
_cell_angle_beta 90.00
_cell_angle_gamma 120.00
loop_
_atom_site_label
_atom_site_fract_x
_atom_site_fract_y
_atom_site_fract_z
Gd1 0.0000 0.0000 0.0000
Co1 0.6667 0.3333 0.5000
Cu1 0.3333 0.6667 0.5000

=====

Entry 4:
# GdHoCoCu | Alexandria via LeMat-Bulk | PBE | relaxed
# Crystal system   cubic
# Formation enthalpy at 0 K   -0.71 eV/f.u.
# Total energy   -122.28 eV per cell
data_GdHoCoCu
_chemical_formula_sum 'Gd4 Ho4 Co4 Cu4'
_space_group_name_H-M_alt 'F -4 3 m'
_space_group_IT_number 216
_space_group_name_Hall 'F -4 2 3'
_cell_length_a 6.8219
_cell_length_b 6.8219
_cell_length_c 6.8219
_cell_angle_alpha 90.00
_cell_angle_beta 90.00
_cell_angle_gamma 90.00
loop_
_atom_site_label
_atom_site_fract_x
_atom_site_fract_y
_atom_site_fract_z
Gd1 0.0000 0.0000 0.0000
Ho1 0.0000 0.0000 0.5000
Co1 0.2500 0.2500 0.7500
Cu1 0.2500 0.2500 0.2500

=====

Entry 5:
# GdInCoCu | Alexandria via LeMat-Bulk | PBE | relaxed
# Crystal system   cubic
# Formation enthalpy at 0 K   -0.49 eV/f.u.
# Total energy   -114.05 eV per cell
data_GdInCoCu
_chemical_formula_sum 'Gd4 In4 Co4 Cu4'
_space_group_name_H-M_alt 'F -4 3 m'
_space_group_IT_number 216
_space_group_name_Hall 'F -4 2 3'
_cell_length_a 6.6235
_cell_length_b 6.6235
_cell_length_c 6.6235
_cell_angle_alpha 90.00
_cell_angle_beta 90.00
_cell_angle_gamma 90.00
loop_
_atom_site_label
_atom_site_fract_x
_atom_site_fract_y
_atom_site_fract_z
Gd1 0.0000 0.0000 0.0000
In1 0.0000 0.0000 0.5000
Co1 0.2500 0.2500 0.2500
Cu1 0.2500 0.2500 0.7500

=====

Entry 6:
# GdLuCoCu | Alexandria via LeMat-Bulk | PBE | relaxed
# Crystal system   cubic
# Formation enthalpy at 0 K   -0.81 eV/f.u.
# Total energy   -122.47 eV per cell
data_GdLuCoCu
_chemical_formula_sum 'Gd4 Lu4 Co4 Cu4'
_space_group_name_H-M_alt 'F -4 3 m'
_space_group_IT_number 216
_space_group_name_Hall 'F -4 2 3'
_cell_length_a 6.7625
_cell_length_b 6.7625
_cell_length_c 6.7625
_cell_angle_alpha 90.00
_cell_angle_beta 90.00
_cell_angle_gamma 90.00
loop_
_atom_site_label
_atom_site_fract_x
_atom_site_fract_y
_atom_site_fract_z
Gd1 0.0000 0.0000 0.0000
Lu1 0.0000 0.0000 0.5000
Co1 0.2500 0.2500 0.2500
Cu1 0.2500 0.2500 0.7500

=====

Entry 7:
# GdMgCoCu | Alexandria via LeMat-Bulk | PBE | relaxed
# Crystal system   cubic
# Formation enthalpy at 0 K   -0.14 eV/f.u.
# Total energy   -108.06 eV per cell
data_GdMgCoCu
_chemical_formula_sum 'Gd4 Mg4 Co4 Cu4'
_space_group_name_H-M_alt 'F -4 3 m'
_space_group_IT_number 216
_space_group_name_Hall 'F -4 2 3'
_cell_length_a 6.5820
_cell_length_b 6.5820
_cell_length_c 6.5820
_cell_angle_alpha 90.00
_cell_angle_beta 90.00
_cell_angle_gamma 90.00
loop_
_atom_site_label
_atom_site_fract_x
_atom_site_fract_y
_atom_site_fract_z
Gd1 0.0000 0.0000 0.0000
Mg1 0.0000 0.0000 0.5000
Co1 0.2500 0.2500 0.7500
Cu1 0.2500 0.2500 0.2500

=====

Entry 8:
# NdGdCoCu | Alexandria via LeMat-Bulk | PBE | relaxed
# Crystal system   cubic
# Formation enthalpy at 0 K   -0.39 eV/f.u.
# Total energy   -121.75 eV per cell
data_NdGdCoCu
_chemical_formula_sum 'Nd4 Gd4 Co4 Cu4'
_space_group_name_H-M_alt 'F -4 3 m'
_space_group_IT_number 216
_space_group_name_Hall 'F -4 2 3'
_cell_length_a 6.9669
_cell_length_b 6.9669
_cell_length_c 6.9669
_cell_angle_alpha 90.00
_cell_angle_beta 90.00
_cell_angle_gamma 90.00
loop_
_atom_site_label
_atom_site_fract_x
_atom_site_fract_y
_atom_site_fract_z
Nd1 0.0000 0.0000 0.0000
Gd1 0.0000 0.0000 0.5000
Co1 0.2500 0.2500 0.2500
Cu1 0.2500 0.2500 0.7500

=====

Among the records above, which one has the highest total energy?
GdCoCu

=====

Which value of total energy does entry 3 give?
-25.52 eV per cell

=====

What did the fourth record say?
# GdHoCoCu | Alexandria via LeMat-Bulk | PBE | relaxed
# Crystal system   cubic
# Formation enthalpy at 0 K   -0.71 eV/f.u.
# Total energy   -122.28 eV per cell
data_GdHoCoCu
_chemical_formula_sum 'Gd4 Ho4 Co4 Cu4'
_space_group_name_H-M_alt 'F -4 3 m'
_space_group_IT_number 216
_space_group_name_Hall 'F -4 2 3'
_cell_length_a 6.8219
_cell_length_b 6.8219
_cell_length_c 6.8219
_cell_angle_alpha 90.00
_cell_angle_beta 90.00
_cell_angle_gamma 90.00
loop_
_atom_site_label
_atom_site_fract_x
_atom_site_fract_y
_atom_site_fract_z
Gd1 0.0000 0.0000 0.0000
Ho1 0.0000 0.0000 0.5000
Co1 0.2500 0.2500 0.7500
Cu1 0.2500 0.2500 0.2500

=====

Among the records above, which one has the lowest formation enthalpy at 0 K?
GdLuCoCu